Compound: InN2ClF
Source: Alexandria via LeMat-Bulk
Functional: PBE
Structure: relaxed

Unit cell a=4.484 b=4.484 c=4.207 alpha=90.00 beta=90.00 gamma=90.00
Each line ends with the local moment (μB).
Fractional coordinates of all 5 atoms:
1 In 0.000 0.000 0.000  -0.02
2 N 0.500 0.000 0.000  1.24
3 F 0.000 0.000 0.500  0.01
4 N 0.000 0.500 0.000  1.24
5 Cl 0.500 0.500 0.500  -0.06

Summary:
**Excess energy over the best structure of this formula in the dataset**: 0 meV/atom
**Space-group type**: No. 123


Compound: InN2ClF
Source: Alexandria via LeMat-Bulk
Functional: PBE
Structure: relaxed

Unit cell a=3.718 b=3.718 c=5.361 alpha=90.00 beta=90.00 gamma=90.00
Each line ends with the local moment (μB).
Fractional coordinates of all 5 atoms:
1 Cl 0.000 0.000 0.000  -0.01
2 N 0.500 0.000 0.000  0.24
3 N 0.000 0.500 0.000  0.24
4 In 0.500 0.500 0.500  0.01
5 F 0.000 0.000 0.500  -0.01

Summary:
**Excess energy over the best structure of this formula in the dataset**: 426 meV/atom
**Space-group type**: No. 123


Compound: NaInClF
Source: Alexandria via LeMat-Bulk
Functional: PBE
Structure: relaxed

Unit cell a=3.748 b=3.746 c=7.338 alpha=89.97 beta=104.80 gamma=120.02
Fractional coordinates of all 4 atoms:
1 Na 0.335 0.565 0.916
2 F 0.102 0.948 0.066
3 Cl 0.489 0.142 0.646
4 In 0.952 0.374 0.341

Summary:
**Space-group type**: No. 160


Compound: NaInClF2
Source: Alexandria via LeMat-Bulk
Functional: PBE
Structure: relaxed

Unit cell a=4.425 b=4.425 c=5.630 alpha=90.00 beta=90.00 gamma=90.00
Fractional coordinates of all 5 atoms:
1 Cl 0.000 0.000 0.500
2 In 0.000 0.000 0.000
3 F 0.000 0.500 0.000
4 Na 0.500 0.500 0.500
5 F 0.500 0.000 0.000

Summary:
**Space-group type**: No. 123


no.,magnetic moment (μB per cell),formation energy from raw total energies (meV/atom)
1,3.54,884
2,0.64,1310
3,0.00,-1664
4,0.00,-1870